[1]
Computed, not measured: a geometry-optimized AcTl2SnO6 structure at the PBE-GGA level of DFT.

Geometry as CIF:
```
data_AcTl2SnO6
_cell_length_a 5.8818
_cell_length_b 5.8818
_cell_length_c 16.3413
_cell_angle_alpha 90.00
_cell_angle_beta 90.00
_cell_angle_gamma 120.00
_symmetry_space_group_name_H-M 'R 3'
_symmetry_Int_Tables_number 146
_symmetry_space_group_name_Hall 'R 3'
loop_
_atom_site_label
_atom_site_fract_x
_atom_site_fract_y
_atom_site_fract_z
_atom_site_occupancy
Ac1 0.0000 0.0000 0.0000 1
Tl1 0.0000 0.0000 0.2117 1
Tl2 0.0000 0.0000 0.7382 1
Sn1 0.0000 0.0000 0.5163 1
O1 0.0541 0.3359 0.1151 1
O2 0.0566 0.6789 0.2643 1
```

The total energy comes out at -0.4291 Ry/atom. The density is 8.65 g/cm3.

=====

[2]
Computed, not measured: a geometry-optimized PmBPt2 structure at the PBE-GGA level of DFT.

Geometry as CIF:
```
data_PmBPt2
_cell_length_a 3.8949
_cell_length_b 3.8949
_cell_length_c 16.3137
_cell_angle_alpha 90.00
_cell_angle_beta 90.00
_cell_angle_gamma 120.00
_symmetry_space_group_name_H-M 'R -3 m'
_symmetry_Int_Tables_number 166
_symmetry_space_group_name_Hall '-R 3 2"'
loop_
_atom_site_label
_atom_site_fract_x
_atom_site_fract_y
_atom_site_fract_z
_atom_site_occupancy
Pm1 0.0000 0.0000 0.0000 1
B1 0.0000 0.0000 0.5000 1
Pt1 0.0000 0.0000 0.2110 1
```

As for the distance to the lowest polymorph of the same formula: 491 meV per atom. The density is 12.69 g/cm3.

=====

[3]
Computed, not measured: a geometry-optimized MgGePd structure at the PBE-GGA level of DFT.

Geometry as CIF:
```
data_MgGePd
_cell_length_a 4.3844
_cell_length_b 4.3844
_cell_length_c 3.0804
_cell_angle_alpha 90.00
_cell_angle_beta 90.00
_cell_angle_gamma 120.00
_symmetry_space_group_name_H-M 'P -6 m 2'
_symmetry_Int_Tables_number 187
_symmetry_space_group_name_Hall 'P -6 2'
loop_
_atom_site_label
_atom_site_fract_x
_atom_site_fract_y
_atom_site_fract_z
_atom_site_occupancy
Mg1 0.0000 0.0000 0.0000 1
Ge1 0.3333 0.6667 0.5000 1
Pd1 0.6667 0.3333 0.5000 1
```

The total energy comes out at -0.3137 Ry/atom. The density is 6.59 g/cm3.

=====

[4]
Computed, not measured: a geometry-optimized CeEuAs structure at the PBE-GGA level of DFT.

Geometry as CIF:
```
data_CeEuAs
_cell_length_a 3.835
_cell_length_b 3.835
_cell_length_c 11.774
_cell_angle_alpha 90.00
_cell_angle_beta 90.00
_cell_angle_gamma 90.00
_symmetry_space_group_name_H-M 'I 4 m m'
_symmetry_Int_Tables_number 107
_symmetry_space_group_name_Hall 'I 4 -2'
loop_
_atom_site_label
_atom_site_fract_x
_atom_site_fract_y
_atom_site_fract_z
_atom_site_occupancy
Ce1 0.000 0.000 0.000 1
Eu1 0.000 0.000 0.731 1
As1 0.000 0.000 0.380 1
```

As for the distance to the lowest polymorph of the same formula: 48 meV per atom. The density is 7.04 g/cm3.

=====

no.,total magnetization (μB per cell)
1,0.00
2,0.00
3,0.00
4,19.01